# 1
The following is a DFT calculation (GGA-PBE) of Al2GaAg2 after structural relaxation.

Unit cell a=3.880 b=3.880 c=12.870 alpha=90.00 beta=90.00 gamma=90.00
Space group I4/mmm (No. 139)
Symmetry-distinct sites (fractional):
Al 0.000 0.500 0.250
Ga 0.000 0.000 0.000
Ag 0.000 0.000 0.393

- Polymorph energy (0 for the lowest one): 142 meV per atom
- ρ: 5817 kg/m3

# 2
The following is a DFT calculation (GGA-PBE) of AlGaAg after structural relaxation.

Unit cell a=6.153 b=6.153 c=6.153 alpha=90.00 beta=90.00 gamma=90.00
Space group F-43m (No. 216)
Symmetry-distinct sites (fractional):
Al 0.000 0.000 0.000
Ga 0.000 0.000 0.500
Ag 0.250 0.250 0.250

- VASP energy: -0.2328 Ry per atom
- ρ: 5832 kg/m3

# 3
The following is a DFT calculation (GGA-PBE) of Al4GaAg3 after structural relaxation.

Unit cell a=4.684 b=7.627 c=8.001 alpha=90.00 beta=93.90 gamma=90.00
Space group P2_1 (No. 4)
Symmetry-distinct sites (fractional):
Al 0.103 0.000 0.252
Al 0.107 0.307 0.442
Al 0.133 0.310 0.058
Al 0.383 0.697 0.747
Ga 0.116 0.622 0.256
Ag 0.352 0.996 0.948
Ag 0.389 0.999 0.561
Ag 0.395 0.332 0.753

- VASP energy: -0.2412 Ry per atom
- ρ: 5837 kg/m3

# 4
The following is a DFT calculation (GGA-PBE) of Al6GaAg2 after structural relaxation.

Unit cell a=5.8588 b=5.8588 c=17.2081 alpha=90.00 beta=90.00 gamma=120.00
Space group R3m (No. 160, hexagonal axes)
Symmetry-distinct sites (fractional):
Al 0.0252 0.5126 0.0000
Al 0.0281 0.5141 0.2057
Ga 0.0000 0.0000 0.7717
Ag 0.0000 0.0000 0.1752
Ag 0.0000 0.0000 0.9971

- Polymorph energy (0 for the lowest one): 135 meV per atom
- ρ: 4356 kg/m3

# 5
The following is a DFT calculation (GGA-PBE) of Al3Ga4Ag2 after structural relaxation.

Unit cell a=4.531 b=4.978 c=8.363 alpha=85.66 beta=75.43 gamma=63.51
Space group P-1 (No. 2)
Symmetry-distinct sites (fractional):
Al 0.000 0.000 0.000
Al 0.261 0.635 0.389
Ga 0.361 0.334 0.956
Ga 0.377 0.018 0.673
Ag 0.023 0.684 0.720

- VASP energy: -0.2334 Ry per atom
- ρ: 5854 kg/m3

# 6
The following is a DFT calculation (GGA-PBE) of AlGaAg after structural relaxation.

Unit cell a=10.495 b=2.981 c=7.464 alpha=90.00 beta=112.25 gamma=90.00
Space group C2/m (No. 12)
Symmetry-distinct sites (fractional):
Al 0.127 0.000 0.490
Ga 0.145 0.500 0.825
Ag 0.120 0.500 0.180

- VASP energy: -0.2333 Ry per atom
- ρ: 6287 kg/m3